[1]
# KZr2Mo PBE optimized geometry
data_KZr2Mo
_chemical_formula_sum 'K2 Zr4 Mo2'
_space_group_name_H-M_alt 'I m m m'
_space_group_IT_number 71
_space_group_name_Hall '-I 2 2'
_cell_length_a 3.155
_cell_length_b 6.142
_cell_length_c 10.653
_cell_angle_alpha 90.00
_cell_angle_beta 90.00
_cell_angle_gamma 90.00
loop_
_atom_site_label
_atom_site_type_symbol
_atom_site_fract_x
_atom_site_fract_y
_atom_site_fract_z
K1 K 0.000 0.000 0.000
Zr1 Zr 0.000 0.500 0.200
Mo1 Mo 0.000 0.000 0.500
# energy relative to the lowest polymorph listed for this composition: 53.16 kJ/mol of atoms
# E_form: 0.839 eV/atom

[2]
# Tb2CeY5Tm PBE optimized geometry
data_Tb2CeY5Tm
_chemical_formula_sum 'Tb8 Ce4 Y20 Tm4'
_space_group_name_H-M_alt 'C m c 21'
_space_group_IT_number 36
_space_group_name_Hall 'C 2c -2'
_cell_length_a 5.716
_cell_length_b 21.642
_cell_length_c 9.534
_cell_angle_alpha 90.00
_cell_angle_beta 90.00
_cell_angle_gamma 90.00
loop_
_atom_site_label
_atom_site_type_symbol
_atom_site_fract_x
_atom_site_fract_y
_atom_site_fract_z
Tb1 Tb 0.000 0.114 0.000
Tb2 Tb 0.000 0.132 0.612
Ce1 Ce 0.000 0.188 0.302
Y1 Y 0.000 0.013 0.310
Y2 Y 0.000 0.267 0.987
Y3 Y 0.000 0.306 0.609
Y4 Y 0.000 0.392 0.274
Y5 Y 0.000 0.472 0.573
Tm1 Tm 0.000 0.402 0.891
# E_form: 0.167 eV/atom

[3]
# Y2Zr2Si PBE optimized geometry
data_Y2Zr2Si
_chemical_formula_sum 'Y4 Zr4 Si2'
_space_group_name_H-M_alt 'P 4/m b m'
_space_group_IT_number 127
_space_group_name_Hall '-P 4 2ab'
_cell_length_a 7.205
_cell_length_b 7.205
_cell_length_c 4.846
_cell_angle_alpha 90.00
_cell_angle_beta 90.00
_cell_angle_gamma 90.00
loop_
_atom_site_label
_atom_site_type_symbol
_atom_site_fract_x
_atom_site_fract_y
_atom_site_fract_z
Y1 Y 0.161 0.339 0.000
Zr1 Zr 0.147 0.647 0.500
Si1 Si 0.000 0.000 0.500
# E_form (uncorrected): -0.108 eV/atom

[4]
# BaMgTe2 PBE optimized geometry
data_BaMgTe2
_chemical_formula_sum 'Ba3 Mg3 Te6'
_space_group_name_H-M_alt 'R -3 m'
_space_group_IT_number 166
_space_group_name_Hall '-R 3 2"'
_cell_length_a 4.6158
_cell_length_b 4.6158
_cell_length_c 22.7044
_cell_angle_alpha 90.00
_cell_angle_beta 90.00
_cell_angle_gamma 120.00
loop_
_atom_site_label
_atom_site_type_symbol
_atom_site_fract_x
_atom_site_fract_y
_atom_site_fract_z
Ba1 Ba 0.0000 0.0000 0.0000
Mg1 Mg 0.0000 0.0000 0.5000
Te1 Te 0.0000 0.0000 0.2351
# E_form (uncorrected): -1.232 eV/atom

[5]
# Na3NiHg PBE optimized geometry
data_Na3NiHg
_chemical_formula_sum 'Na3 Ni1 Hg1'
_space_group_name_H-M_alt 'P m -3 m'
_space_group_IT_number 221
_space_group_name_Hall '-P 4 2 3'
_cell_length_a 5.330
_cell_length_b 5.330
_cell_length_c 5.330
_cell_angle_alpha 90.00
_cell_angle_beta 90.00
_cell_angle_gamma 90.00
loop_
_atom_site_label
_atom_site_type_symbol
_atom_site_fract_x
_atom_site_fract_y
_atom_site_fract_z
Na1 Na 0.000 0.000 0.500
Ni1 Ni 0.000 0.000 0.000
Hg1 Hg 0.500 0.500 0.500
# energy relative to the lowest polymorph listed for this composition: 0.00 kJ/mol of atoms
# E_form: 0.379 eV/atom

[6]
# TiFeS3 PBE optimized geometry
data_TiFeS3
_chemical_formula_sum 'Ti1 Fe1 S3'
_space_group_name_H-M_alt 'P m -3 m'
_space_group_IT_number 221
_space_group_name_Hall '-P 4 2 3'
_cell_length_a 4.382
_cell_length_b 4.382
_cell_length_c 4.382
_cell_angle_alpha 90.00
_cell_angle_beta 90.00
_cell_angle_gamma 90.00
loop_
_atom_site_label
_atom_site_type_symbol
_atom_site_fract_x
_atom_site_fract_y
_atom_site_fract_z
Ti1 Ti 0.000 0.000 0.000
Fe1 Fe 0.500 0.500 0.500
S1 S 0.000 0.500 0.500
# energy relative to the lowest polymorph listed for this composition: 11.36 kJ/mol of atoms
# E_form (uncorrected): 0.106 eV/atom

| no. | total magnetic moment (μB per formula unit) | total DFT energy (no corrections) (eV/f.u.) |
| --- | --- | --- |
| 1 | 0.000 | -25.67 |
| 2 | 0.552 | -50.49 |
| 3 | 0.000 | -35.99 |
| 4 | 0.000 | -14.73 |
| 5 | 0.000 | -8.14 |
| 6 | 1.992 | -28.21 |